DFT (PBE) results for crystalline Ce3Zr2As2N4 at its relaxed geometry.

energy = -8.334 eV/atom

Cell: 11.528 11.528 11.528 Å, 158.92 158.92 29.99°
Fractional positions:
1 Ce 0.000 0.000 0.000
2 Ce 0.163 0.163 0.000
3 Ce 0.837 0.837 0.000
4 Zr 0.415 0.415 0.000
5 Zr 0.585 0.585 0.000
6 As 0.298 0.298 0.000
7 As 0.702 0.702 0.000
8 N 0.068 0.568 0.500
9 N 0.432 0.932 0.500
10 N 0.568 0.068 0.500
11 N 0.932 0.432 0.500